Version i
Material: RbMn2Ag
Method: DFT, PBE
State: relaxed

Unit cell a=5.3279 b=5.3279 c=18.6415 alpha=90.00 beta=90.00 gamma=90.00
Element x y z (fractional)
Rb: 0.0000 0.2500 0.3750
Rb: 0.0000 0.7500 0.6250
Rb: 0.5000 0.2500 0.1250
Rb: 0.5000 0.7500 0.8750
Mn: 0.0000 0.0000 0.0000
Mn: 0.0000 0.5000 0.0000
Mn: 0.2500 0.2500 0.7500
Mn: 0.2500 0.7500 0.2500
Mn: 0.5000 0.0000 0.5000
Mn: 0.5000 0.5000 0.5000
Mn: 0.7500 0.2500 0.7500
Mn: 0.7500 0.7500 0.2500
Ag: 0.0000 0.2500 0.8750
Ag: 0.0000 0.7500 0.1250
Ag: 0.5000 0.2500 0.6250
Ag: 0.5000 0.7500 0.3750

V: 33.07 A^3/atom

Version ii
Material: RbMn2Ag
Method: DFT, PBE
State: relaxed

Unit cell a=7.2527 b=7.2527 c=7.2527 alpha=90.00 beta=90.00 gamma=90.00
Element x y z (fractional)
Rb: 0.0000 0.0000 0.0000
Rb: 0.0000 0.5000 0.5000
Rb: 0.5000 0.0000 0.5000
Rb: 0.5000 0.5000 0.0000
Mn: 0.2500 0.2500 0.2500
Mn: 0.2500 0.2500 0.7500
Mn: 0.2500 0.7500 0.2500
Mn: 0.2500 0.7500 0.7500
Mn: 0.7500 0.2500 0.2500
Mn: 0.7500 0.2500 0.7500
Mn: 0.7500 0.7500 0.2500
Mn: 0.7500 0.7500 0.7500
Ag: 0.0000 0.0000 0.5000
Ag: 0.0000 0.5000 0.0000
Ag: 0.5000 0.0000 0.0000
Ag: 0.5000 0.5000 0.5000

V: 23.84 A^3/atom

Unit: meV/atom. Relative energies: version i 0; version ii 162.

Version i
Material: RbMnAg3
Method: DFT, PBE
State: relaxed

Unit cell a=5.7712 b=5.7712 c=5.7712 alpha=90.00 beta=90.00 gamma=90.00
Element x y z (fractional)
Rb: 0.0000 0.0000 0.0000
Mn: 0.5000 0.5000 0.5000
Ag: 0.0000 0.0000 0.5000
Ag: 0.0000 0.5000 0.0000
Ag: 0.5000 0.0000 0.0000

V: 38.44 A^3/atom

Version ii
Material: RbMnAg3
Method: DFT, PBE
State: relaxed

Unit cell a=5.2580 b=5.2580 c=5.2580 alpha=90.00 beta=90.00 gamma=90.00
Element x y z (fractional)
Rb: 0.0000 0.0000 0.0000
Mn: 0.5000 0.5000 0.5000
Ag: 0.0000 0.5000 0.5000
Ag: 0.5000 0.0000 0.5000
Ag: 0.5000 0.5000 0.0000

V: 29.07 A^3/atom

Unit: meV/atom. Relative energies: version i 1076; version ii 0.